# 1
Entry from the Alexandria database: an optimized crystal structure of CdRhAu2 (PBE).

abc: 2.951 2.951 27.908
angles: 90.00 90.00 120.00
Atoms (fractional coordinates):
1 Cd 0.000 0.000 0.000
2 Cd 0.333 0.667 0.667
3 Cd 0.667 0.333 0.333
4 Rh 0.000 0.000 0.253
5 Rh 0.333 0.667 0.920
6 Rh 0.667 0.333 0.587
7 Au 0.000 0.000 0.506
8 Au 0.000 0.000 0.754
9 Au 0.333 0.667 0.173
10 Au 0.333 0.667 0.420
11 Au 0.667 0.333 0.087
12 Au 0.667 0.333 0.839

Its crystal system is trigonal.



# 2
Entry from the Alexandria database: an optimized crystal structure of CdRh2Au2 (PBE).

abc: 7.198 7.198 3.454
angles: 90.00 90.00 90.00
Atoms (fractional coordinates):
1 Cd 0.000 0.000 0.000
2 Cd 0.500 0.500 0.000
3 Rh 0.132 0.368 0.000
4 Rh 0.368 0.868 0.000
5 Rh 0.632 0.132 0.000
6 Rh 0.868 0.632 0.000
7 Au 0.165 0.665 0.500
8 Au 0.335 0.165 0.500
9 Au 0.665 0.835 0.500
10 Au 0.835 0.335 0.500

Its crystal system is tetragonal. As for the excess energy over the best structure of this formula in the dataset: 0 meV/atom.



# 3
Entry from the Alexandria database: an optimized crystal structure of CdRh2Au (PBE).

abc: 2.883 4.807 9.572
angles: 90.00 90.00 90.00
Atoms (fractional coordinates):
1 Cd 0.000 0.000 0.000
2 Cd 0.500 0.500 0.500
3 Rh 0.000 0.500 0.248
4 Rh 0.000 0.500 0.752
5 Rh 0.500 0.000 0.252
6 Rh 0.500 0.000 0.748
7 Au 0.000 0.000 0.500
8 Au 0.500 0.500 0.000

Its crystal system is orthorhombic.



# 4
Entry from the Alexandria database: an optimized crystal structure of CdRh2Au (PBE).

abc: 4.088 4.088 7.881
angles: 90.00 90.00 90.00
Atoms (fractional coordinates):
1 Cd 0.000 0.000 0.000
2 Cd 0.500 0.500 0.500
3 Rh 0.000 0.500 0.250
4 Rh 0.000 0.500 0.750
5 Rh 0.500 0.000 0.250
6 Rh 0.500 0.000 0.750
7 Au 0.000 0.000 0.500
8 Au 0.500 0.500 0.000

Its crystal system is tetragonal.



# 5
Entry from the Alexandria database: an optimized crystal structure of Cd3RhAu2 (PBE).

abc: 4.391 7.672 6.904
angles: 90.00 107.16 90.00
Atoms (fractional coordinates):
1 Cd 0.000 0.244 0.000
2 Cd 0.000 0.756 0.000
3 Cd 0.328 0.235 0.657
4 Cd 0.328 0.765 0.657
5 Cd 0.672 0.235 0.343
6 Cd 0.672 0.765 0.343
7 Rh 0.161 0.000 0.323
8 Rh 0.839 0.000 0.677
9 Au 0.165 0.500 0.330
10 Au 0.500 0.000 0.000
11 Au 0.500 0.500 0.000
12 Au 0.835 0.500 0.670

Its crystal system is monoclinic.



# 6
Entry from the Alexandria database: an optimized crystal structure of Cd12Rh2Au5 (PBE).

abc: 7.745 7.745 7.013
angles: 92.49 92.49 66.64
Atoms (fractional coordinates):
1 Cd 0.067 0.067 0.199
2 Cd 0.103 0.672 0.139
3 Cd 0.137 0.535 0.703
4 Cd 0.328 0.897 0.861
5 Cd 0.407 0.407 0.380
6 Cd 0.465 0.863 0.297
7 Cd 0.535 0.137 0.703
8 Cd 0.593 0.593 0.620
9 Cd 0.672 0.103 0.139
10 Cd 0.863 0.465 0.297
11 Cd 0.897 0.328 0.861
12 Cd 0.933 0.933 0.801
13 Rh 0.200 0.800 0.500
14 Rh 0.800 0.200 0.500
15 Au 0.176 0.176 0.562
16 Au 0.272 0.272 0.026
17 Au 0.500 0.500 0.000
18 Au 0.728 0.728 0.974
19 Au 0.824 0.824 0.438

Its crystal system is monoclinic.



# 7
Entry from the Alexandria database: an optimized crystal structure of Cd7Rh2Au (PBE).

abc: 4.629 4.629 11.521
angles: 90.00 90.00 120.00
Atoms (fractional coordinates):
1 Cd 0.000 0.000 0.000
2 Cd 0.000 0.000 0.253
3 Cd 0.000 0.000 0.537
4 Cd 0.333 0.667 0.132
5 Cd 0.333 0.667 0.700
6 Cd 0.667 0.333 0.361
7 Cd 0.667 0.333 0.854
8 Rh 0.000 0.000 0.769
9 Rh 0.667 0.333 0.113
10 Au 0.333 0.667 0.441

Its crystal system is trigonal.



# 8
Entry from the Alexandria database: an optimized crystal structure of Cd5RhAu4 (PBE).

abc: 3.363 3.363 16.735
angles: 90.00 90.00 90.00
Atoms (fractional coordinates):
1 Cd 0.000 0.000 0.000
2 Cd 0.000 0.000 0.205
3 Cd 0.000 0.000 0.409
4 Cd 0.000 0.000 0.591
5 Cd 0.000 0.000 0.795
6 Rh 0.500 0.500 0.500
7 Au 0.500 0.500 0.103
8 Au 0.500 0.500 0.309
9 Au 0.500 0.500 0.691
10 Au 0.500 0.500 0.897

Its crystal system is tetragonal.



# 9
Entry from the Alexandria database: an optimized crystal structure of CdRh2Au (PBE).

abc: 2.878 3.828 6.030
angles: 90.00 90.00 90.00
Atoms (fractional coordinates):
1 Cd 0.000 0.000 0.000
2 Rh 0.000 0.000 0.468
3 Rh 0.500 0.500 0.270
4 Au 0.500 0.500 0.734

Its crystal system is orthorhombic.



# 10
Entry from the Alexandria database: an optimized crystal structure of CdRhAu2 (PBE).

abc: 3.253 4.699 9.223
angles: 90.00 90.00 90.00
Atoms (fractional coordinates):
1 Cd 0.000 0.000 0.000
2 Cd 0.500 0.500 0.000
3 Rh 0.000 0.500 0.237
4 Rh 0.500 0.000 0.237
5 Au 0.000 0.000 0.479
6 Au 0.000 0.500 0.739
7 Au 0.500 0.000 0.739
8 Au 0.500 0.500 0.479

Its crystal system is orthorhombic.



# 11
Entry from the Alexandria database: an optimized crystal structure of Cd2Rh2Au (PBE).

abc: 7.523 7.523 3.188
angles: 90.00 90.00 90.00
Atoms (fractional coordinates):
1 Cd 0.144 0.356 0.000
2 Cd 0.356 0.856 0.000
3 Cd 0.644 0.144 0.000
4 Cd 0.856 0.644 0.000
5 Rh 0.152 0.652 0.500
6 Rh 0.348 0.152 0.500
7 Rh 0.652 0.848 0.500
8 Rh 0.848 0.348 0.500
9 Au 0.000 0.000 0.000
10 Au 0.500 0.500 0.000

Its crystal system is tetragonal. As for the excess energy over the best structure of this formula in the dataset: 153 meV/atom.



# 12
Entry from the Alexandria database: an optimized crystal structure of CdRhAu2 (PBE).

abc: 6.541 6.541 6.541
angles: 90.00 90.00 90.00
Atoms (fractional coordinates):
1 Cd 0.000 0.000 0.000
2 Cd 0.000 0.500 0.500
3 Cd 0.500 0.000 0.500
4 Cd 0.500 0.500 0.000
5 Rh 0.250 0.250 0.250
6 Rh 0.250 0.750 0.750
7 Rh 0.750 0.250 0.750
8 Rh 0.750 0.750 0.250
9 Au 0.000 0.000 0.500
10 Au 0.000 0.500 0.000
11 Au 0.250 0.250 0.750
12 Au 0.250 0.750 0.250
13 Au 0.500 0.000 0.000
14 Au 0.500 0.500 0.500
15 Au 0.750 0.250 0.250
16 Au 0.750 0.750 0.750

Its crystal system is cubic.



# 13
Entry from the Alexandria database: an optimized crystal structure of CdRhAu2 (PBE).

abc: 5.788 7.897 3.058
angles: 90.00 90.00 90.00
Atoms (fractional coordinates):
1 Cd 0.000 0.000 0.000
2 Cd 0.500 0.500 0.000
3 Rh 0.000 0.500 0.000
4 Rh 0.500 0.000 0.000
5 Au 0.250 0.250 0.500
6 Au 0.250 0.750 0.500
7 Au 0.750 0.250 0.500
8 Au 0.750 0.750 0.500

Its crystal system is orthorhombic.



# 14
Entry from the Alexandria database: an optimized crystal structure of Cd8Rh2Au (PBE).

abc: 7.044 7.044 4.616
angles: 90.00 90.00 104.73
Atoms (fractional coordinates):
1 Cd 0.167 0.167 0.000
2 Cd 0.192 0.464 0.500
3 Cd 0.246 0.754 0.000
4 Cd 0.464 0.192 0.500
5 Cd 0.536 0.808 0.500
6 Cd 0.754 0.246 0.000
7 Cd 0.808 0.536 0.500
8 Cd 0.833 0.833 0.000
9 Rh 0.118 0.882 0.500
10 Rh 0.882 0.118 0.500
11 Au 0.500 0.500 0.000

Its crystal system is orthorhombic. As for the excess energy over the best structure of this formula in the dataset: 8 meV/atom.



# 15
Entry from the Alexandria database: an optimized crystal structure of CdRh2Au2 (PBE).

abc: 7.574 7.574 3.121
angles: 90.00 90.00 90.00
Atoms (fractional coordinates):
1 Cd 0.000 0.000 0.000
2 Cd 0.500 0.500 0.000
3 Rh 0.137 0.363 0.500
4 Rh 0.363 0.863 0.500
5 Rh 0.637 0.137 0.500
6 Rh 0.863 0.637 0.500
7 Au 0.158 0.658 0.000
8 Au 0.342 0.158 0.000
9 Au 0.658 0.842 0.000
10 Au 0.842 0.342 0.000

Its crystal system is tetragonal. As for the excess energy over the best structure of this formula in the dataset: 46 meV/atom.



# 16
Entry from the Alexandria database: an optimized crystal structure of Cd4RhAu3 (PBE).

abc: 6.068 6.035 8.688
angles: 90.00 110.30 90.00
Atoms (fractional coordinates):
1 Cd 0.130 0.250 0.259
2 Cd 0.130 0.750 0.259
3 Cd 0.370 0.250 0.741
4 Cd 0.370 0.750 0.741
5 Cd 0.630 0.250 0.259
6 Cd 0.630 0.750 0.259
7 Cd 0.870 0.250 0.741
8 Cd 0.870 0.750 0.741
9 Rh 0.000 0.000 0.500
10 Rh 0.500 0.500 0.500
11 Au 0.000 0.500 0.500
12 Au 0.247 0.000 0.994
13 Au 0.253 0.500 0.006
14 Au 0.500 0.000 0.500
15 Au 0.747 0.500 0.994
16 Au 0.753 0.000 0.006

Its crystal system is monoclinic.



# 17
Entry from the Alexandria database: an optimized crystal structure of Cd3RhAu (PBE).

abc: 7.402 7.402 9.357
angles: 119.94 119.94 70.39
Atoms (fractional coordinates):
1 Cd 0.069 0.351 0.577
2 Cd 0.085 0.756 0.933
3 Cd 0.244 0.915 0.567
4 Cd 0.340 0.350 0.931
5 Cd 0.350 0.340 0.431
6 Cd 0.351 0.069 0.077
7 Cd 0.649 0.931 0.923
8 Cd 0.650 0.660 0.569
9 Cd 0.660 0.650 0.069
10 Cd 0.756 0.085 0.433
11 Cd 0.915 0.244 0.067
12 Cd 0.931 0.649 0.423
13 Rh 0.004 0.996 0.250
14 Rh 0.336 0.664 0.750
15 Rh 0.664 0.336 0.250
16 Rh 0.996 0.004 0.750
17 Au 0.162 0.563 0.199
18 Au 0.437 0.838 0.301
19 Au 0.563 0.162 0.699
20 Au 0.838 0.437 0.801

Its crystal system is monoclinic. As for the excess energy over the best structure of this formula in the dataset: 0 meV/atom.



# 18
Entry from the Alexandria database: an optimized crystal structure of CdRh2Au (PBE).

abc: 2.814 4.790 4.922
angles: 90.00 91.33 90.00
Atoms (fractional coordinates):
1 Cd 0.000 0.000 0.000
2 Rh 0.254 0.500 0.746
3 Rh 0.746 0.500 0.254
4 Au 0.500 0.000 0.500

Its crystal system is monoclinic.



# 19
Entry from the Alexandria database: an optimized crystal structure of CdRh2Au (PBE).

abc: 2.909 4.777 9.604
angles: 90.00 90.00 90.00
Atoms (fractional coordinates):
1 Cd 0.000 0.000 0.000
2 Cd 0.500 0.500 0.500
3 Rh 0.000 0.000 0.519
4 Rh 0.000 0.500 0.244
5 Rh 0.500 0.000 0.744
6 Rh 0.500 0.500 0.019
7 Au 0.000 0.500 0.764
8 Au 0.500 0.000 0.264

Its crystal system is orthorhombic.



# 20
Entry from the Alexandria database: an optimized crystal structure of CdRhAu2 (PBE).

abc: 3.924 3.924 19.811
angles: 90.00 90.00 90.00
Atoms (fractional coordinates):
1 Cd 0.000 0.000 0.000
2 Cd 0.000 0.500 0.250
3 Cd 0.500 0.000 0.750
4 Cd 0.500 0.500 0.500
5 Rh 0.000 0.000 0.500
6 Rh 0.000 0.500 0.750
7 Rh 0.500 0.000 0.250
8 Rh 0.500 0.500 0.000
9 Au 0.245 0.250 0.625
10 Au 0.250 0.745 0.875
11 Au 0.250 0.755 0.375
12 Au 0.255 0.250 0.125
13 Au 0.745 0.750 0.125
14 Au 0.750 0.245 0.375
15 Au 0.750 0.255 0.875
16 Au 0.755 0.750 0.625

Its crystal system is tetragonal.



# 21
Entry from the Alexandria database: an optimized crystal structure of Cd6RhAu3 (PBE).

abc: 5.416 5.416 7.366
angles: 97.62 97.62 93.01
Atoms (fractional coordinates):
1 Cd 0.078 0.701 0.653
2 Cd 0.299 0.922 0.347
3 Cd 0.374 0.374 0.128
4 Cd 0.626 0.626 0.872
5 Cd 0.701 0.078 0.653
6 Cd 0.922 0.299 0.347
7 Rh 0.500 0.500 0.500
8 Au 0.000 0.000 0.000
9 Au 0.233 0.233 0.738
10 Au 0.767 0.767 0.262

Its crystal system is monoclinic.



# 22
Entry from the Alexandria database: an optimized crystal structure of CdRh2Au (PBE).

abc: 5.821 7.684 2.932
angles: 90.00 90.00 90.00
Atoms (fractional coordinates):
1 Cd 0.000 0.000 0.000
2 Cd 0.500 0.500 0.000
3 Rh 0.250 0.250 0.500
4 Rh 0.250 0.750 0.500
5 Rh 0.750 0.250 0.500
6 Rh 0.750 0.750 0.500
7 Au 0.000 0.500 0.000
8 Au 0.500 0.000 0.000

Its crystal system is orthorhombic.



# 23
Entry from the Alexandria database: an optimized crystal structure of Cd3RhAu (PBE).

abc: 6.881 6.881 5.118
angles: 90.00 90.00 113.30
Atoms (fractional coordinates):
1 Cd 0.214 0.786 0.750
2 Cd 0.237 0.386 0.750
3 Cd 0.386 0.237 0.250
4 Cd 0.614 0.763 0.750
5 Cd 0.763 0.614 0.250
6 Cd 0.786 0.214 0.250
7 Rh 0.355 0.645 0.250
8 Rh 0.645 0.355 0.750
9 Au 0.000 0.000 0.000
10 Au 0.000 0.000 0.500

Its crystal system is orthorhombic. As for the excess energy over the best structure of this formula in the dataset: 254 meV/atom.



# 24
Entry from the Alexandria database: an optimized crystal structure of CdRhAu2 (PBE).

abc: 2.941 4.025 5.917
angles: 90.00 90.00 90.00
Atoms (fractional coordinates):
1 Cd 0.000 0.000 0.000
2 Rh 0.000 0.000 0.500
3 Au 0.500 0.500 0.260
4 Au 0.500 0.500 0.740

Its crystal system is orthorhombic.



# 25
Entry from the Alexandria database: an optimized crystal structure of Tb4CdRh2Au (PBE).

abc: 8.709 8.709 8.709
angles: 33.63 33.63 33.63
Atoms (fractional coordinates):
1 Tb 0.122 0.122 0.122
2 Tb 0.372 0.372 0.372
3 Tb 0.628 0.628 0.628
4 Tb 0.878 0.878 0.878
5 Cd 0.500 0.500 0.500
6 Rh 0.246 0.246 0.246
7 Rh 0.754 0.754 0.754
8 Au 0.000 0.000 0.000

Its crystal system is trigonal.



ΔH_f (0 K), respectively: 48, 185, 120, 89, -156, -104, -41, -156, 30, 86, 164, -18, -11, -99, 231, -162, -52, 123, 90, 192, -110, 76, 202, 6, -670 meV per atom.
Final energy, respectively: -3.66, -4.25, -4.60, -4.64, -2.93, -2.32, -2.48, -2.66, -4.69, -3.62, -3.80, -3.72, -3.72, -2.40, -4.20, -2.77, -2.73, -4.60, -4.63, -3.51, -2.38, -4.65, -2.47, -3.70, -5.35 eV/atom.
Mass density, respectively: 14.4, 13.2, 12.9, 13.0, 12.5, 10.9, 9.2, 12.7, 12.9, 14.3, 11.6, 14.5, 14.5, 9.8, 13.2, 12.7, 11.1, 12.9, 12.8, 13.3, 10.7, 13.0, 9.5, 14.4, 10.6 Mg/m³.